# meta-GGA SCAN Li2FeP4O12, PBEsol geometry
data_Li2FeP4O12
_cell_length_a 9.345
_cell_length_b 9.294
_cell_length_c 10.023
_cell_angle_alpha 90.00
_cell_angle_beta 90.00
_cell_angle_gamma 90.00
_space_group_name_H-M_alt 'P n m a'
_space_group_IT_number 62
_space_group_name_Hall '-P 2ac 2n'
loop_
_atom_site_label
_atom_site_fract_x
_atom_site_fract_y
_atom_site_fract_z
_atom_site_occupancy
Li1 0.008 0.097 0.177 1
Fe1 0.011 0.250 0.801 1
P1 0.196 0.750 0.609 1
P2 0.211 0.538 0.388 1
P3 0.227 0.250 0.521 1
O1 0.099 0.750 0.727 1
O2 0.113 0.750 0.034 1
O3 0.116 0.570 0.271 1
O4 0.130 0.061 0.877 1
O5 0.136 0.250 0.643 1
O6 0.146 0.250 0.128 1
O7 0.148 0.616 0.518 1
O8 0.176 0.124 0.424 1
# - final energy (eV per cell) = -737.527
# - energy relative to the lowest polymorph listed for this composition (meV/atom) = 0
# - V (Å³ per atom) = 11.45
# - formation energy (no corrections) (eV/atom) = -2.374
# - ρ (g cm⁻³) = 2.94